First-principles (PBE) data for crystalline Hf3IrN at its relaxed geometry, as listed in Alexandria.

Cell and atoms, written as CIF:
```
data_Hf3IrN
_symmetry_space_group_name_H-M 'P n m a'
_symmetry_Int_Tables_number 62
_cell_length_a 6.213
_cell_length_b 8.706
_cell_length_c 6.178
_cell_angle_alpha 90.00
_cell_angle_beta 90.00
_cell_angle_gamma 90.00
loop_
_symmetry_equiv_pos_as_xyz
'x,y,z'
'-x,-y,-z'
'-x+1/2,-y,z+1/2'
'x+1/2,y,-z+1/2'
'x+1/2,-y+1/2,-z+1/2'
'-x+1/2,y+1/2,z+1/2'
'-x,y+1/2,-z'
'x,-y+1/2,z'
loop_
_atom_site_label
_atom_site_fract_x
_atom_site_fract_y
_atom_site_fract_z
_atom_site_occupancy
Hf1 0.018 0.250 0.087 1
Hf2 0.216 0.047 0.717 1
Ir1 0.038 0.750 0.487 1
N1 0.000 0.000 0.000 1
```

***

First-principles (PBE) data for crystalline Hf3IrN at its relaxed geometry, as listed in Alexandria.

Cell and atoms, written as CIF:
```
data_Hf3IrN
_symmetry_space_group_name_H-M 'I -4 m 2'
_symmetry_Int_Tables_number 119
_symmetry_space_group_name_Hall 'I -4 -2'
_cell_length_a 5.108
_cell_length_b 5.108
_cell_length_c 15.234
_cell_angle_alpha 90.00
_cell_angle_beta 90.00
_cell_angle_gamma 90.00
loop_
_atom_site_label
_atom_site_fract_x
_atom_site_fract_y
_atom_site_fract_z
_atom_site_occupancy
Hf1 0.000 0.000 0.212 1
Hf2 0.000 0.249 0.607 1
Ir1 0.000 0.500 0.163 1
N1 0.000 0.000 0.500 1
N2 0.000 0.500 0.750 1
```

***

First-principles (PBE) data for crystalline HfIrN2O at its relaxed geometry, as listed in Alexandria.

Cell and atoms, written as CIF:
```
data_HfIrN2O
_symmetry_space_group_name_H-M 'P 4/m m m'
_symmetry_Int_Tables_number 123
_symmetry_space_group_name_Hall '-P 4 2'
_cell_length_a 3.882
_cell_length_b 3.882
_cell_length_c 3.873
_cell_angle_alpha 90.00
_cell_angle_beta 90.00
_cell_angle_gamma 90.00
loop_
_atom_site_label
_atom_site_fract_x
_atom_site_fract_y
_atom_site_fract_z
_atom_site_occupancy
Hf1 0.000 0.000 0.000 1
Ir1 0.500 0.500 0.500 1
N1 0.000 0.500 0.500 1
O1 0.500 0.500 0.000 1
```

***

First-principles (PBE) data for crystalline HfIrNO2 at its relaxed geometry, as listed in Alexandria.

Cell and atoms, written as CIF:
```
data_HfIrNO2
_symmetry_space_group_name_H-M 'P 4/m m m'
_symmetry_Int_Tables_number 123
_symmetry_space_group_name_Hall '-P 4 2'
_cell_length_a 3.896
_cell_length_b 3.896
_cell_length_c 3.924
_cell_angle_alpha 90.00
_cell_angle_beta 90.00
_cell_angle_gamma 90.00
loop_
_atom_site_label
_atom_site_fract_x
_atom_site_fract_y
_atom_site_fract_z
_atom_site_occupancy
Hf1 0.000 0.000 0.000 1
Ir1 0.500 0.500 0.500 1
N1 0.500 0.500 0.000 1
O1 0.000 0.500 0.500 1
```

***

The calculation returns the following E_tot values, one per record and in order: -10.610 -9.507 -7.921 -7.648 eV per atom.
The calculation returns the following formation energy from raw total energies values, one per record and in order: -6.00 -0.49 0.82 -1.18 eV/f.u..